Compound: CrBr2
Source: Alexandria via LeMat-Bulk
Functional: PBE
Structure: relaxed

## Properties
E_tot (eV per atom): -4.518
V (Å³ per cell): 81.8
Crystal system: tetragonal

Cell lengths 7.534, 7.534, 7.534 Å; angles 154.04, 154.04, 37.04 degrees
Last column: magnetic moment on the atom in μB.
Fractional positions:
1 Br 0.613 0.613 0.000  -0.06
2 Br 0.387 0.387 0.000  -0.06
3 Cr 0.000 0.000 0.000  3.75